Computed, not measured: FeP2O after structural relaxation at the PBE with a Hubbard U level of DFT.

The structure in POSCAR format:
```
FeP2O
1.0
2.809 -0.014 0.161
-1.373 4.960 -0.102
-0.264 -1.971 4.352
P Fe O
2 1 1
Cartesian
-0.290 4.390 0.054
-0.451 1.606 2.380
1.085 2.003 0.253
-0.487 0.068 2.831
```

Results
mass density: 3.66 Mg/m³
total magnetization: 3.78 μB/cell
crystal system: triclinic
DOS(E_F): 0.95 states/eV/f.u.
total energy: -5.692 eV/atom